This record from Alexandria via LeMat-Bulk describes a relaxed structure of CaLa2Pt. The functional is PBE-GGA.

Summary:
Energy above the most stable polymorph in this dataset = 41 meV/atom
Energy of formation from the pure elements = -0.545 eV/atom
ρ = 6.81 g/cm³
DFT total energy = -40.16 eV per cell
SG = No. 71

Cell and atoms, written as extended XYZ:
```
8
Lattice="3.865 0.000 0.000 0.000 5.712 0.000 0.000 0.000 11.338" Properties=species:S:1:pos:R:3 pbc="T T T"
Ca 0.000 0.000 0.000
Ca 1.933 2.856 5.669
La 0.000 2.856 2.172
La 0.000 2.856 9.165
La 1.933 0.000 3.497
La 1.933 0.000 7.841
Pt 0.000 0.000 5.669
Pt 1.933 2.856 0.000
```

This record from Alexandria via LeMat-Bulk describes a relaxed structure of Ac3Tm3MgSe8. The functional is PBE-GGA.

Summary:
Energy relative to the elements, uncorrected = -40.4 kcal/mol of atoms
ρ = 7.25 g/cm³
DFT total energy = -81.47 eV per cell
SG = No. 166

Cell and atoms, written as extended XYZ:
```
15
Lattice="4.131 2.385 7.143 -4.131 2.385 7.143 0.000 -4.770 7.143" Properties=species:S:1:pos:R:3 pbc="T T T"
Ac -2.066 -1.193 7.143
Ac -2.066 1.193 14.286
Ac 0.000 2.385 7.143
Tm -4.131 0.000 10.714
Tm -2.066 1.193 3.571
Tm 2.066 1.193 3.571
Mg 0.000 0.000 10.714
Se 0.000 0.000 5.118
Se -2.057 -1.188 12.268
Se 0.000 -2.376 9.161
Se -2.057 1.188 9.161
Se 2.057 -1.188 12.268
Se 0.000 2.376 12.268
Se 2.057 1.188 9.161
Se 0.000 0.000 16.310
```

This record from Alexandria via LeMat-Bulk describes a relaxed structure of LiSbS2. The functional is PBE-GGA.

Summary:
Energy relative to the elements, uncorrected = -13.8 kcal/mol of atoms
ρ = 3.68 g/cm³
DFT total energy = -50.08 eV per cell
SG = No. 160

Cell and atoms, written as extended XYZ:
```
12
Lattice="3.871 0.000 0.000 -1.936 3.353 0.000 0.000 0.000 20.087" Properties=species:S:1:pos:R:3 pbc="T T T"
Li 0.000 0.000 0.000
Li 0.000 2.235 13.392
Li 1.936 1.118 6.696
Sb 0.000 0.000 3.643
Sb 0.000 2.235 17.034
Sb 1.936 1.118 10.339
S 0.000 0.000 12.043
S 0.000 0.000 15.460
S 0.000 2.235 5.348
S 0.000 2.235 8.764
S 1.936 1.118 2.069
S 1.936 1.118 18.739
```

This record from Alexandria via LeMat-Bulk describes a relaxed structure of CeErSi2Pt4. The functional is PBE-GGA.

Summary:
Energy relative to the elements, uncorrected = -21.5 kcal/mol of atoms
ρ = 12.27 g/cm³
DFT total energy = -52.96 eV per cell
SG = No. 123

Cell and atoms, written as extended XYZ:
```
8
Lattice="4.083 0.000 0.000 0.000 4.083 0.000 0.000 0.000 9.288" Properties=species:S:1:pos:R:3 pbc="T T T"
Ce 0.000 0.000 0.000
Er 0.000 0.000 4.644
Si 2.041 2.041 3.494
Si 2.041 2.041 5.794
Pt 0.000 2.041 2.201
Pt 0.000 2.041 7.087
Pt 2.041 0.000 2.201
Pt 2.041 0.000 7.087
```